A plane-wave DFT calculation with GGA-PBE was carried out for a relaxed Pr3Ho3Er2 crystal.

Lattice parameters (Å, degrees): 10.7810 10.7810 10.7810 152.82 152.68 38.91
Last column: nearest neighbours and their distance in Å.
Element x y z (fractional)
Pr1 0.0000 0.0000 0.0000  8 Ho 3.59-3.62, 4 Pr 3.61
Pr2 0.3742 0.8742 0.5000  4 Er 3.58-3.59, 6 Ho 3.59-3.60, 2 Pr 3.61
Pr3 0.6258 0.1258 0.5000  4 Er 3.58-3.59, 6 Ho 3.59-3.60, 2 Pr 3.61
Ho1 0.1272 0.6272 0.5000  4 Er 3.55-3.58, 6 Pr 3.59-3.62, 2 Ho 3.63
Ho2 0.5000 0.5000 0.0000  8 Pr 3.59-3.60, 4 Ho 3.63
Ho3 0.8728 0.3728 0.5000  4 Er 3.55-3.58, 6 Pr 3.59-3.62, 2 Ho 3.63
Er1 0.2493 0.2493 0.0000  4 Ho 3.55-3.58, 4 Pr 3.58-3.59, 4 Er 3.59
Er2 0.7507 0.7507 0.0000  4 Ho 3.55-3.58, 4 Pr 3.58-3.59, 4 Er 3.59

Summary:
calculated formation energy = 25 meV/atom
calculated density = 7.9 g/cm3
density of states at the Fermi level = 12.3 states/eV/cell
final energy = -4.624 eV per atom
relative energy among the computed polymorphs = 0.000 eV per atom